VASP calculation (GGA-PBE) on crystalline PmSm5Bi6 at its relaxed geometry.

abc: 7.9025 7.9025 7.9015
angles: 99.60 99.60 120.00
Closest atoms and distances in Å follow each position.
Fractional coordinates of all 12 atoms:
Pm (0.0000, 0.0000, 0.0000)  6 Bi 3.23
Sm (0.1662, 0.8338, 0.5000)  6 Bi 3.22-3.23
Sm (0.3331, 0.6669, 0.0000)  6 Bi 3.22-3.23
Sm (0.5000, 0.5000, 0.5000)  6 Bi 3.22-3.23
Sm (0.6669, 0.3331, 0.0000)  6 Bi 3.22-3.23
Sm (0.8338, 0.1662, 0.5000)  6 Bi 3.22-3.23
Bi (0.0836, 0.4177, 0.2506)  5 Sm 3.22-3.23, 1 Pm 3.23
Bi (0.2509, 0.2509, 0.7499)  5 Sm 3.22-3.23, 1 Pm 3.23
Bi (0.4177, 0.0836, 0.2506)  5 Sm 3.22-3.23, 1 Pm 3.23
Bi (0.5823, 0.9164, 0.7494)  5 Sm 3.22-3.23, 1 Pm 3.23
Bi (0.7491, 0.7491, 0.2501)  5 Sm 3.22-3.23, 1 Pm 3.23
Bi (0.9164, 0.5823, 0.7494)  5 Sm 3.22-3.23, 1 Pm 3.23

The calculation puts the formation enthalpy at 0 K at -0.929 eV per atom. Its space group is C2/m, No. 12. The value obtained for the density of states at the Fermi level is 2.04 states/eV/f.u. As for the electronic total energy: -5.231 eV/atom.